No. 1
Below is an optimized crystal structure of Mn2GeBH, with properties calculated at the PBE-GGA level.

Calculated values
V ... 50 Å³ per cell
Energy ... -31.2 eV/cell

extended XYZ file:
```
5
Lattice="-1.496 -3.751 -0.475 0.744 -0.656 2.840 -3.645 1.295 1.254" Properties=species:S:1:pos:R:3 pbc="T T T"
H 0.372 -0.328 1.420
Ge -2.198 -1.556 1.810
Mn -1.822 0.648 0.627
Mn -0.748 -1.875 -0.237
B 0.000 0.000 0.000
```

***

No. 2
Below is an optimized crystal structure of La6Zn5Sb, with properties calculated at the PBE-GGA level.

Calculated values
V ... 329 Å³ per cell
Raw formation energy ... -42.5 kJ per mole of atoms
Energy ... -45.3 eV/cell

extended XYZ file:
```
12
Lattice="-3.343 4.189 0.012 -4.363 -3.466 -5.149 -5.957 -1.341 5.950" Properties=species:S:1:pos:R:3 pbc="T T T"
Sb 0.000 0.000 0.000
Zn -8.407 0.145 1.436
Zn -3.194 0.872 2.120
Zn -2.181 -1.733 -2.574
Zn -6.105 1.977 3.842
Zn -5.256 -0.763 -0.623
La -8.021 0.462 -1.809
La -5.910 2.139 0.682
La -2.769 1.223 -1.289
La -4.936 -0.500 -3.847
La -7.752 -2.757 0.131
La -5.642 -1.080 2.622
```

***

No. 3
Below is an optimized crystal structure of Gd2HoZn, with properties calculated at the PBE-GGA level.

Calculated values
V ... 123 Å³ per cell
Energy ... -33.0 eV/cell

extended XYZ file:
```
4
Lattice="3.469 0.000 0.000 1.734 3.004 0.000 1.734 1.001 11.798" Properties=species:S:1:pos:R:3 pbc="T T T"
Zn 0.000 0.000 0.000
Gd 1.734 1.001 8.734
Gd 5.203 3.004 3.064
Ho 3.469 2.003 5.899
```

***

No. 4
Below is an optimized crystal structure of AcGaSnAu6, with properties calculated at the PBE-GGA level.

Calculated values
V ... 459 Å³ per cell
Energy ... -65.0 eV/cell

extended XYZ file:
```
18
Lattice="6.820 0.000 0.000 0.000 9.046 0.000 -3.410 -4.523 7.436" Properties=species:S:1:pos:R:3 pbc="T T T"
Ac 3.410 2.261 6.070
Ac 0.000 2.261 1.366
Ga 1.705 -2.261 3.718
Ga -1.705 -2.261 3.718
Sn 3.410 4.523 0.000
Sn 3.410 0.000 0.000
Au 0.000 2.261 5.475
Au 3.410 -2.261 5.736
Au 4.965 -0.098 2.295
Au 1.855 4.621 2.295
Au 1.855 -0.098 2.295
Au 4.965 4.621 2.295
Au 3.410 2.261 1.961
Au 0.000 6.784 1.700
Au -1.555 4.621 5.141
Au 1.555 -0.098 5.141
Au 1.555 4.621 5.141
Au -1.555 -0.098 5.141
```

***

No. 5
Below is an optimized crystal structure of Ca3Pm4HoSe8, with properties calculated at the PBE-GGA level.

Calculated values
V ... 412 Å³ per cell
Raw formation energy ... -180.7 kJ per mole of atoms
Energy ... -87.4 eV/cell

extended XYZ file:
```
16
Lattice="8.301 0.000 0.000 0.000 8.401 0.065 -4.150 -4.145 5.873" Properties=species:S:1:pos:R:3 pbc="T T T"
Ca 4.150 4.200 0.032
Ca 2.075 2.128 2.969
Ca -2.075 2.128 2.969
Pm 4.150 0.000 0.000
Pm 2.075 -2.073 2.936
Pm 0.000 0.000 0.000
Pm -2.075 -2.073 2.936
Ho 0.000 4.200 0.032
Se -2.094 2.100 5.895
Se 0.000 4.190 2.934
Se 0.000 0.054 2.972
Se 2.094 2.100 5.895
Se 2.056 2.156 0.043
Se 4.150 4.202 2.966
Se 4.150 0.065 3.004
Se 6.244 2.156 0.043
```

***

No. 6
Below is an optimized crystal structure of KZrHg, with properties calculated at the PBE-GGA level.

Calculated values
V ... 91 Å³ per cell
Energy ... -5.9 eV/cell

extended XYZ file:
```
3
Lattice="5.042 0.000 0.000 2.521 4.367 0.000 2.521 1.456 4.117" Properties=species:S:1:pos:R:3 pbc="T T T"
Hg 5.042 2.911 2.058
K 7.563 4.367 3.088
Zr 0.000 0.000 0.000
```

***

No. 7
Below is an optimized crystal structure of LiZrGaI, with properties calculated at the PBE-GGA level.

Calculated values
V ... 293 Å³ per cell
Raw formation energy ... -30.0 kJ per mole of atoms
Energy ... -48.9 eV/cell

extended XYZ file:
```
12
Lattice="-1.548 -3.105 -0.966 3.560 0.423 -0.349 3.471 -9.248 24.177" Properties=species:S:1:pos:R:3 pbc="T T T"
Li 0.155 -0.412 1.076
Li 4.326 -7.330 16.639
Li 1.466 -5.424 8.375
Zr 0.656 -1.747 4.568
Zr 4.827 -8.666 20.131
Zr 1.968 -6.759 11.867
Ga 1.541 -4.106 10.735
Ga 2.241 -1.777 2.121
Ga 2.853 -9.118 18.034
I 3.242 -8.637 22.580
I 3.942 -6.308 13.966
I 1.082 -4.401 5.702
```

***

No. 8
Below is an optimized crystal structure of TcCSe2N, with properties calculated at the PBE-GGA level.

Calculated values
V ... 82 Å³ per cell
Raw formation energy ... 105.1 kJ per mole of atoms
Energy ... -29.4 eV/cell

extended XYZ file:
```
5
Lattice="5.745 0.000 0.000 0.000 5.745 0.000 0.000 0.000 2.477" Properties=species:S:1:pos:R:3 pbc="T T T"
C 0.000 0.000 0.000
Tc 2.873 2.873 1.239
Se 0.000 2.873 0.000
Se 2.873 0.000 0.000
N 0.000 0.000 1.239
```

***

No. 9
Below is an optimized crystal structure of CaY2P, with properties calculated at the PBE-GGA level.

Calculated values
V ... 115 Å³ per cell
Energy ... -22.7 eV/cell

extended XYZ file:
```
4
Lattice="6.610 -0.006 0.006 5.581 3.541 0.006 2.229 0.646 4.913" Properties=species:S:1:pos:R:3 pbc="T T T"
Ca 10.815 3.136 3.694
P 3.605 1.045 1.231
Y 11.518 3.340 0.344
Y 7.882 2.285 2.131
```

***

No. 10
Below is an optimized crystal structure of Cs4Sm3PuTe8, with properties calculated at the PBE-GGA level.

Calculated values
V ... 665 Å³ per cell
Raw formation energy ... -127.8 kJ per mole of atoms
Energy ... -78.2 eV/cell

extended XYZ file:
```
16
Lattice="9.280 0.000 0.000 0.000 10.377 0.777 -4.640 -4.641 6.561" Properties=species:S:1:pos:R:3 pbc="T T T"
Cs 4.640 0.000 0.000
Cs 2.320 -2.320 3.280
Cs 0.000 0.000 0.000
Cs -2.320 -2.320 3.280
Sm 4.640 5.189 0.389
Sm 2.320 2.868 3.669
Sm -2.320 2.868 3.669
Pu 0.000 5.189 0.389
Te -2.320 2.717 6.843
Te 0.000 5.037 3.563
Te 0.000 0.686 3.767
Te 2.320 2.717 6.843
Te 2.320 3.019 0.495
Te 4.640 5.050 3.572
Te 4.640 0.699 3.775
Te 6.959 3.019 0.495
```

***

No. 11
Below is an optimized crystal structure of AlInAg3, with properties calculated at the PBE-GGA level.

Calculated values
V ... 122 Å³ per cell
Energy ... -13.2 eV/cell

extended XYZ file:
```
5
Lattice="4.957 0.000 0.000 0.000 4.957 0.000 0.000 0.000 4.957" Properties=species:S:1:pos:R:3 pbc="T T T"
Al 0.000 0.000 0.000
Ag 0.000 2.479 0.000
Ag 0.000 0.000 2.479
Ag 2.479 0.000 0.000
In 2.479 2.479 2.479
```

***

No. 12
Below is an optimized crystal structure of AsRh2N, with properties calculated at the PBE-GGA level.

Calculated values
V ... 127 Å³ per cell
Raw formation energy ... 8.6 kJ per mole of atoms
Energy ... -54.6 eV/cell

extended XYZ file:
```
8
Lattice="4.880 0.000 0.000 0.000 4.880 0.000 2.440 2.440 5.342" Properties=species:S:1:pos:R:3 pbc="T T T"
As 0.000 0.000 0.000
As 4.880 2.440 2.671
Rh 3.244 1.220 1.336
Rh 1.636 3.660 1.336
Rh 3.660 4.076 4.007
Rh 6.099 5.683 4.007
N 2.440 2.440 0.000
N 2.440 4.880 2.671
```

***

These records have N(E_F) values of 0.67 1.12 1.26 0.34 0.48 1.18 0.97 0.48 0.95 0.87 0.52 0.43 states/eV per atom, in the order they appear.